The following is a DFT calculation (SCAN) of a crystal of Mg2TlSe relaxed with PBEsol. Values from VASP.

Calculated values
Size of the total moment = 0.000 Bohr magnetons per cell
Raw formation energy = -0.67 eV/atom

Cell and atoms, written as Quantum ESPRESSO input:
```
&SYSTEM
  ibrav = 0, nat = 4, ntyp = 3
/
ATOMIC_SPECIES
Mg 24.30 Mg.upf
Tl 204.38 Tl.upf
Se 78.96 Se.upf
CELL_PARAMETERS angstrom
1.8489 1.0675 7.7302
-1.8489 1.0675 7.7302
0.0000 -2.1350 7.7302
ATOMIC_POSITIONS crystal
Mg 0.2362 0.2362 0.2362
Mg 0.7638 0.7638 0.7638
Tl 0.0000 0.0000 0.0000
Se 0.5000 0.5000 0.5000
```